{
  "formula": "HAuSe",
  "functional": "PBE",
  "state": "relaxed",
  "magnetic_moment_mub_per_atom": 0.00,
  "spacegroup": "P1 (1)",
  "mass_density_kg_m3": 7104,
  "relative_energy_mev_per_atom": 119,
  "cell": [[-2.163, -0.060, -3.879], [3.639, -2.537, 0.421], [-3.752, -1.125, 2.254]],
  "species": ["H", "Au", "Se"],
  "frac_coords": [[0.746, 0.608, 0.761], [0.936, 0.961, 0.305], [0.601, 0.336, 0.341]]
}

{
  "formula": "Zr3C",
  "functional": "PBE",
  "state": "relaxed",
  "formation_energy_ev_per_atom": -0.08,
  "magnetic_moment_mub_per_atom": 0.00,
  "spacegroup": "Cmcm (63)",
  "mass_density_kg_m3": 6477,
  "relative_energy_mev_per_atom": 317,
  "cell": [[3.984, -5.615, 0.000], [3.984, 5.615, 0.000], [0.000, 0.000, 3.274]],
  "species": ["Zr", "Zr", "Zr", "Zr", "Zr", "Zr", "C", "C"],
  "frac_coords": [[0.890, 0.110, 0.750], [0.110, 0.890, 0.250], [0.822, 0.546, 0.750], [0.178, 0.454, 0.250], [0.454, 0.178, 0.750], [0.546, 0.822, 0.250], [0.745, 0.255, 0.250], [0.255, 0.745, 0.750]]
}

{
  "formula": "Tb2ErP",
  "functional": "PBE",
  "state": "relaxed",
  "formation_energy_ev_per_atom": -0.49,
  "magnetic_moment_mub_per_atom": 0.20,
  "spacegroup": "R-3m (166)",
  "mass_density_kg_m3": 7004,
  "cell": [[3.742, 0.000, 0.000], [1.871, 3.241, 0.000], [1.871, 1.080, 10.088]],
  "species": ["P", "Tb", "Tb", "Er"],
  "frac_coords": [[0.500, 0.500, 0.500], [0.113, 0.113, 0.662], [0.887, 0.887, 0.338], [0.000, 0.000, 0.000]]
}

{
  "formula": "CeGaSi2Ni5",
  "functional": "PBE",
  "state": "relaxed",
  "raw_formation_energy_ev_per_atom": -0.32,
  "magnetic_moment_mub_per_atom": 0.04,
  "spacegroup": "P4/mmm (123)",
  "mass_density_kg_m3": 6612,
  "cell": [[-2.686, 2.575, -0.299], [-2.592, -2.660, 0.381], [0.134, 1.302, 9.997]],
  "species": ["Ce", "Ga", "Si", "Si", "Ni", "Ni", "Ni", "Ni", "Ni"],
  "frac_coords": [[0.000, 0.000, 0.500], [0.000, 0.000, 0.000], [0.500, 0.500, 0.279], [0.500, 0.500, 0.721], [0.000, 0.500, 0.153], [0.500, 0.000, 0.153], [0.000, 0.500, 0.847], [0.500, 0.000, 0.847], [0.500, 0.500, 0.500]]
}

{
  "formula": "Sr8N4O3",
  "functional": "PBE",
  "state": "relaxed",
  "raw_formation_energy_ev_per_atom": -1.26,
  "magnetic_moment_mub_per_atom": 0.13,
  "spacegroup": "C2/m (12)",
  "mass_density_kg_m3": 4436,
  "cell": [[-6.853, -3.263, 0.345], [5.449, -2.989, -4.242], [4.637, -0.210, 5.923]],
  "species": ["Sr", "Sr", "Sr", "Sr", "Sr", "Sr", "Sr", "Sr", "N", "N", "N", "N", "O", "O", "O"],
  "frac_coords": [[0.472, 0.237, 0.237], [0.000, 0.762, 0.238], [0.008, 0.240, 0.240], [0.500, 0.749, 0.251], [0.500, 0.251, 0.749], [0.992, 0.760, 0.760], [0.000, 0.238, 0.762], [0.528, 0.763, 0.763], [0.500, 0.000, 0.000], [0.000, 0.500, 0.000], [0.000, 0.000, 0.000], [0.000, 0.000, 0.500], [0.500, 0.500, 0.000], [0.500, 0.000, 0.500], [0.500, 0.500, 0.500]]
}

{
  "formula": "Li7MnAs4",
  "functional": "PBE",
  "state": "relaxed",
  "formation_energy_ev_per_atom": -0.48,
  "magnetic_moment_mub_per_atom": 0.17,
  "spacegroup": "P-42m (111)",
  "mass_density_kg_m3": 2915,
  "relative_energy_mev_per_atom": 67,
  "cell": [[6.151, 0.000, 0.000], [0.000, 6.151, 0.000], [0.000, 0.000, 6.071]],
  "species": ["Li", "Li", "Li", "Li", "Li", "Li", "Li", "Mn", "As", "As", "As", "As"],
  "frac_coords": [[0.000, 0.000, 0.278], [0.000, 0.000, 0.722], [0.500, 0.000, 0.000], [0.500, 0.000, 0.500], [0.000, 0.500, 0.000], [0.000, 0.500, 0.500], [0.500, 0.500, 0.000], [0.500, 0.500, 0.500], [0.718, 0.718, 0.272], [0.282, 0.282, 0.272], [0.718, 0.282, 0.728], [0.282, 0.718, 0.728]]
}

{
  "formula": "La4HgBiC",
  "functional": "PBE",
  "state": "relaxed",
  "formation_energy_ev_per_atom": -0.47,
  "magnetic_moment_mub_per_atom": 0.00,
  "spacegroup": "Cmcm (63)",
  "mass_density_kg_m3": 7382,
  "cell": [[7.297, 0.000, 0.000], [0.000, 7.305, 0.000], [-3.649, 0.000, 8.248]],
  "species": ["La", "La", "La", "La", "La", "La", "La", "La", "Hg", "Hg", "Bi", "Bi", "C", "C"],
  "frac_coords": [[0.919, 0.250, 0.838], [0.409, 0.750, 0.818], [0.081, 0.750, 0.162], [0.591, 0.250, 0.182], [0.500, 0.500, 0.500], [0.000, 0.000, 0.500], [0.500, 0.000, 0.500], [0.000, 0.500, 0.500], [0.115, 0.250, 0.230], [0.885, 0.750, 0.770], [0.610, 0.750, 0.221], [0.390, 0.250, 0.779], [0.257, 0.750, 0.513], [0.743, 0.250, 0.487]]
}

{
  "formula": "BAsAu3",
  "functional": "PBE",
  "state": "relaxed",
  "formation_energy_ev_per_atom": 0.51,
  "magnetic_moment_mub_per_atom": 0.00,
  "spacegroup": "Pm-3m (221)",
  "mass_density_kg_m3": 12883,
  "relative_energy_mev_per_atom": 0,
  "cell": [[4.435, 0.000, 0.000], [0.000, 4.435, 0.000], [0.000, 0.000, 4.435]],
  "species": ["As", "B", "Au", "Au", "Au"],
  "frac_coords": [[0.500, 0.500, 0.500], [0.000, 0.000, 0.000], [0.000, 0.500, 0.000], [0.000, 0.000, 0.500], [0.500, 0.000, 0.000]]
}

{
  "formula": "NdTmZnCd",
  "functional": "PBE",
  "state": "relaxed",
  "formation_energy_ev_per_atom": -0.29,
  "magnetic_moment_mub_per_atom": 0.00,
  "spacegroup": "F-43m (216)",
  "mass_density_kg_m3": 8027,
  "relative_energy_mev_per_atom": 30,
  "cell": [[-4.128, 1.345, -2.928], [-4.750, 0.359, 2.178], [-2.243, 4.690, 0.634]],
  "species": ["Zn", "Tm", "Nd", "Cd"],
  "frac_coords": [[0.250, 0.250, 0.250], [0.500, 0.500, 0.500], [0.000, 0.000, 0.000], [0.750, 0.750, 0.750]]
}

{
  "formula": "BeTlIr",
  "functional": "PBE",
  "state": "relaxed",
  "formation_energy_ev_per_atom": 0.17,
  "magnetic_moment_mub_per_atom": 0.00,
  "spacegroup": "P-6m2 (187)",
  "mass_density_kg_m3": 13608,
  "relative_energy_mev_per_atom": 87,
  "cell": [[-3.043, -2.374, 0.180], [2.277, -0.011, -3.121], [2.196, -2.692, 1.611]],
  "species": ["Be", "Tl", "Ir"],
  "frac_coords": [[0.000, 0.000, 0.167], [0.333, 0.667, 0.667], [0.667, 0.333, 0.166]]
}

{
  "formula": "La4Tb15Sm",
  "functional": "PBE",
  "state": "relaxed",
  "formation_energy_ev_per_atom": 0.02,
  "magnetic_moment_mub_per_atom": 0.00,
  "spacegroup": "P4/mmm (123)",
  "mass_density_kg_m3": 7746,
  "cell": [[5.108, 0.000, 0.000], [0.000, 5.108, 0.000], [0.000, 0.000, 25.382]],
  "species": ["La", "La", "La", "La", "Tb", "Tb", "Tb", "Tb", "Tb", "Tb", "Tb", "Tb", "Tb", "Tb", "Tb", "Tb", "Tb", "Tb", "Tb", "Sm"],
  "frac_coords": [[0.000, 0.000, 0.200], [0.000, 0.000, 0.400], [0.000, 0.000, 0.600], [0.000, 0.000, 0.800], [0.500, 0.500, 0.000], [0.500, 0.500, 0.199], [0.500, 0.500, 0.400], [0.500, 0.500, 0.600], [0.500, 0.500, 0.801], [0.500, 0.000, 0.098], [0.500, 0.000, 0.299], [0.500, 0.000, 0.500], [0.500, 0.000, 0.701], [0.500, 0.000, 0.902], [0.000, 0.500, 0.098], [0.000, 0.500, 0.299], [0.000, 0.500, 0.500], [0.000, 0.500, 0.701], [0.000, 0.500, 0.902], [0.000, 0.000, 0.000]]
}

{
  "formula": "SrAc2Zn6",
  "functional": "PBE",
  "state": "relaxed",
  "formation_energy_ev_per_atom": -0.27,
  "magnetic_moment_mub_per_atom": 0.00,
  "spacegroup": "P6/mmm (191)",
  "mass_density_kg_m3": 6852,
  "cell": [[-0.868, 2.810, -2.623], [1.195, -5.298, -6.070], [-7.399, 0.803, 3.307]],
  "species": ["Sr", "Ac", "Ac", "Zn", "Zn", "Zn", "Zn", "Zn", "Zn"],
  "frac_coords": [[0.000, 0.000, 0.000], [0.000, 0.333, 0.667], [0.000, 0.667, 0.333], [0.500, 0.330, 0.330], [0.500, 0.670, 0.670], [0.500, 0.000, 0.670], [0.500, 0.670, 0.000], [0.500, 0.330, 0.000], [0.500, 0.000, 0.330]]
}